1.
Density functional theory data (PBE) for an optimized crystal structure of AlZn3Cu.

POSCAR file:
```
AlZn3Cu
1.0
4.791 0.000 0.000
0.000 4.791 0.000
0.000 0.000 4.791
Al Zn Cu
1 3 1
Direct
0.000 0.000 0.000
0.000 0.000 0.500
0.000 0.500 0.000
0.500 0.000 0.000
0.500 0.500 0.500
```


2.
Density functional theory data (PBE) for an optimized crystal structure of AlZn3Cu.

POSCAR file:
```
AlZn3Cu
1.0
4.606 0.000 0.000
0.000 4.606 0.000
0.000 0.000 4.606
Al Zn Cu
1 3 1
Direct
0.000 0.000 0.000
0.000 0.500 0.500
0.500 0.000 0.500
0.500 0.500 0.000
0.500 0.500 0.500
```


The least stable of them is 1.


1.
Density functional theory data (PBE) for an optimized crystal structure of AlZn4Cu.

POSCAR file:
```
AlZn4Cu
1.0
0.000 3.563 3.563
3.563 0.000 3.563
3.563 3.563 0.000
Al Zn Cu
1 4 1
Direct
0.000 0.000 0.000
0.375 0.375 0.375
0.375 0.375 0.874
0.375 0.874 0.375
0.874 0.375 0.375
0.750 0.750 0.750
```


2.
Density functional theory data (PBE) for an optimized crystal structure of AlZn4Cu.

POSCAR file:
```
AlZn4Cu
1.0
0.000 4.472 4.775
4.409 0.000 4.775
4.409 4.472 0.000
Al Zn Cu
2 8 2
Direct
0.000 0.000 0.500
0.500 0.500 0.000
0.009 0.710 0.290
0.208 0.513 0.792
0.290 0.991 0.009
0.487 0.792 0.513
0.513 0.208 0.487
0.710 0.009 0.991
0.792 0.487 0.208
0.991 0.290 0.710
0.250 0.250 0.250
0.750 0.750 0.750
```


The least stable of them is 1.


1.
Density functional theory data (PBE) for an optimized crystal structure of Zr5AlCu2.

POSCAR file:
```
Zr5AlCu2
1.0
-2.173 2.173 8.179
2.173 -2.173 8.179
2.173 2.173 -8.179
Zr Al Cu
5 1 2
Direct
0.000 0.000 0.000
0.135 0.635 0.500
0.365 0.865 0.500
0.635 0.135 0.500
0.865 0.365 0.500
0.500 0.500 0.000
0.252 0.252 0.000
0.748 0.748 0.000
```


2.
Density functional theory data (PBE) for an optimized crystal structure of Zr5AlCu2.

POSCAR file:
```
Zr5AlCu2
1.0
5.744 0.000 0.000
0.000 11.283 0.000
0.000 0.000 4.832
Zr Al Cu
10 2 4
Direct
0.000 0.000 0.000
0.127 0.374 0.500
0.187 0.733 0.000
0.313 0.233 0.000
0.373 0.874 0.500
0.500 0.500 0.000
0.627 0.126 0.500
0.687 0.767 0.000
0.813 0.267 0.000
0.873 0.626 0.500
0.000 0.500 0.000
0.500 0.000 0.000
0.111 0.118 0.500
0.389 0.618 0.500
0.611 0.382 0.500
0.889 0.882 0.500
```


The least stable of them is 2.


1.
Density functional theory data (PBE) for an optimized crystal structure of Zr2Al3Cu3.

POSCAR file:
```
Zr2Al3Cu3
1.0
7.549 0.000 0.000
-3.774 6.537 0.000
0.000 0.000 2.716
Zr Al Cu
2 3 3
Direct
0.333 0.667 0.000
0.667 0.333 0.000
0.000 0.769 0.000
0.231 0.231 0.000
0.769 0.000 0.000
0.000 0.326 0.500
0.326 0.000 0.500
0.674 0.674 0.500
```


2.
Density functional theory data (PBE) for an optimized crystal structure of Zr2Al3Cu3.

POSCAR file:
```
Zr2Al3Cu3
1.0
5.413 0.000 0.000
1.484 6.920 0.000
2.641 1.464 6.910
Zr Al Cu
4 6 6
Direct
0.109 0.194 0.476
0.305 0.807 0.803
0.695 0.193 0.197
0.891 0.806 0.524
0.215 0.394 0.055
0.251 0.491 0.640
0.262 0.990 0.146
0.738 0.010 0.854
0.749 0.509 0.360
0.785 0.606 0.945
0.091 0.189 0.862
0.317 0.583 0.251
0.449 0.824 0.408
0.551 0.176 0.592
0.683 0.417 0.749
0.909 0.811 0.138
```


3.
Density functional theory data (PBE) for an optimized crystal structure of Zr2Al3Cu3.

POSCAR file:
```
Zr2Al3Cu3
1.0
7.639 0.000 0.000
-3.819 6.615 0.000
0.000 0.000 5.562
Zr Al Cu
4 6 6
Direct
0.333 0.667 0.000
0.333 0.667 0.500
0.667 0.333 0.000
0.667 0.333 0.500
0.000 0.298 0.250
0.000 0.702 0.750
0.298 0.000 0.250
0.298 0.298 0.750
0.702 0.000 0.750
0.702 0.702 0.250
0.000 0.348 0.750
0.000 0.652 0.250
0.348 0.000 0.750
0.348 0.348 0.250
0.652 0.000 0.250
0.652 0.652 0.750
```


The least stable of them is 1.


1.
Density functional theory data (PBE) for an optimized crystal structure of Zr3AlCu2.

POSCAR file:
```
Zr3AlCu2
1.0
5.868 0.000 0.000
-2.934 5.082 0.000
0.000 0.000 7.948
Zr Al Cu
6 2 4
Direct
0.176 0.351 0.250
0.176 0.824 0.250
0.351 0.176 0.750
0.649 0.824 0.250
0.824 0.176 0.750
0.824 0.649 0.750
0.000 0.000 0.000
0.000 0.000 0.500
0.333 0.667 0.589
0.333 0.667 0.911
0.667 0.333 0.089
0.667 0.333 0.411
```


2.
Density functional theory data (PBE) for an optimized crystal structure of Zr3AlCu2.

POSCAR file:
```
Zr3AlCu2
1.0
3.126 0.000 0.000
0.000 3.126 0.000
0.000 0.000 11.120
Zr Al Cu
3 1 2
Direct
0.000 0.000 0.000
0.000 0.000 0.322
0.000 0.000 0.678
0.500 0.500 0.500
0.500 0.500 0.157
0.500 0.500 0.843
```


3.
Density functional theory data (PBE) for an optimized crystal structure of Zr3AlCu2.

POSCAR file:
```
Zr3AlCu2
1.0
2.048 -6.733 0.000
2.048 6.733 0.000
0.000 0.000 3.956
Zr Al Cu
3 1 2
Direct
0.000 0.000 0.000
0.167 0.833 0.500
0.833 0.167 0.500
0.500 0.500 0.500
0.339 0.661 0.000
0.661 0.339 0.000
```


4.
Density functional theory data (PBE) for an optimized crystal structure of Zr3AlCu2.

POSCAR file:
```
Zr3AlCu2
1.0
5.985 0.000 0.000
-2.993 5.183 0.000
0.000 0.000 4.125
Zr Al Cu
3 1 2
Direct
0.000 0.500 0.000
0.500 0.000 0.000
0.500 0.500 0.000
0.000 0.000 0.500
0.333 0.667 0.500
0.667 0.333 0.500
```


The least stable of them is 4.


1.
Density functional theory data (PBE) for an optimized crystal structure of ZrAl6Cu.

POSCAR file:
```
ZrAl6Cu
1.0
3.944 0.000 0.000
0.000 3.944 0.000
0.000 0.000 9.080
Zr Al Cu
1 6 1
Direct
0.000 0.000 0.000
0.000 0.500 0.329
0.000 0.500 0.671
0.500 0.000 0.329
0.500 0.000 0.671
0.500 0.500 0.135
0.500 0.500 0.865
0.000 0.000 0.500
```


2.
Density functional theory data (PBE) for an optimized crystal structure of ZrAl6Cu.

POSCAR file:
```
ZrAl6Cu
1.0
3.730 0.000 0.000
0.000 3.730 0.000
0.000 0.000 11.026
Zr Al Cu
1 6 1
Direct
0.000 0.000 0.000
0.000 0.500 0.202
0.000 0.500 0.798
0.500 0.000 0.202
0.500 0.000 0.798
0.500 0.500 0.386
0.500 0.500 0.614
0.000 0.000 0.500
```


3.
Density functional theory data (PBE) for an optimized crystal structure of ZrAl6Cu.

POSCAR file:
```
ZrAl6Cu
1.0
5.774 0.000 0.000
0.000 5.774 0.000
0.000 0.000 3.999
Zr Al Cu
1 6 1
Direct
0.000 0.000 0.000
0.000 0.500 0.000
0.257 0.257 0.500
0.257 0.743 0.500
0.500 0.000 0.000
0.743 0.257 0.500
0.743 0.743 0.500
0.500 0.500 0.000
```


The least stable of them is 2.


1.
Density functional theory data (PBE) for an optimized crystal structure of ZrAl2Cu4.

POSCAR file:
```
ZrAl2Cu4
1.0
4.036 0.000 0.000
-2.018 3.495 0.000
0.000 0.000 8.044
Zr Al Cu
1 2 4
Direct
0.000 0.000 0.000
0.333 0.667 0.742
0.667 0.333 0.496
0.000 0.000 0.337
0.000 0.000 0.641
0.667 0.333 0.185
0.667 0.333 0.826
```


2.
Density functional theory data (PBE) for an optimized crystal structure of ZrAl2Cu4.

POSCAR file:
```
ZrAl2Cu4
1.0
5.690 0.000 0.000
0.000 4.150 0.000
-1.900 0.000 8.576
Zr Al Cu
2 4 8
Direct
0.113 0.250 0.267
0.887 0.750 0.733
0.223 0.250 0.895
0.352 0.750 0.550
0.648 0.250 0.450
0.777 0.750 0.105
0.080 0.250 0.586
0.193 0.750 0.048
0.455 0.750 0.850
0.482 0.750 0.299
0.518 0.250 0.701
0.545 0.250 0.150
0.807 0.250 0.952
0.920 0.750 0.414
```


3.
Density functional theory data (PBE) for an optimized crystal structure of ZrAl2Cu4.

POSCAR file:
```
ZrAl2Cu4
1.0
2.787 0.000 0.000
-1.394 2.414 0.000
0.000 0.000 15.894
Zr Al Cu
1 2 4
Direct
0.000 0.000 0.000
0.333 0.667 0.690
0.667 0.333 0.310
0.333 0.667 0.437
0.333 0.667 0.848
0.667 0.333 0.152
0.667 0.333 0.563
```


The least stable of them is 3.


1.
Density functional theory data (PBE) for an optimized crystal structure of Zr6AlCu.

POSCAR file:
```
Zr6AlCu
1.0
4.146 0.000 0.000
0.000 4.146 0.000
0.000 0.000 11.010
Zr Al Cu
6 1 1
Direct
0.000 0.000 0.116
0.000 0.000 0.884
0.000 0.500 0.325
0.000 0.500 0.675
0.500 0.000 0.325
0.500 0.000 0.675
0.500 0.500 0.500
0.500 0.500 0.000
```


2.
Density functional theory data (PBE) for an optimized crystal structure of Zr6AlCu.

POSCAR file:
```
Zr6AlCu
1.0
4.175 0.000 0.000
0.000 4.175 0.000
0.000 0.000 10.594
Zr Al Cu
6 1 1
Direct
0.000 0.000 0.118
0.000 0.000 0.882
0.000 0.500 0.335
0.000 0.500 0.665
0.500 0.000 0.335
0.500 0.000 0.665
0.500 0.500 0.000
0.500 0.500 0.500
```


3.
Density functional theory data (PBE) for an optimized crystal structure of Zr6AlCu.

POSCAR file:
```
Zr6AlCu
1.0
-2.289 2.289 8.073
2.289 -2.289 8.073
2.289 2.289 -8.073
Zr Al Cu
6 1 1
Direct
0.113 0.613 0.500
0.250 0.250 0.000
0.387 0.887 0.500
0.613 0.113 0.500
0.750 0.750 0.000
0.887 0.387 0.500
0.000 0.000 0.000
0.500 0.500 0.000
```


The least stable of them is 1.